1.
CaAsAu (PBE, relaxed); energy relative to the elements = -0.763 eV/atom; DFT total energy = -24.43 eV per cell; SG = Cmme (67); crystal system = orthorhombic
1.0
3.8438 -4.2568 0.0000
3.8438 4.2568 0.0000
0.0000 0.0000 4.9591
Ca As Au
2 2 2
Direct
0.2500 0.2500 0.0000 Ca
0.7500 0.7500 0.0000 Ca
0.2500 0.7500 0.8242 As
0.7500 0.2500 0.1758 As
0.0000 0.5000 0.5000 Au
0.5000 0.0000 0.5000 Au

2.
CaAsAu2 (PBE, relaxed); energy relative to the elements = -0.432 eV/atom; DFT total energy = -14.93 eV per cell; SG = R-3m (166); crystal system = trigonal
1.0
2.2791 1.3158 4.9858
-2.2791 1.3158 4.9858
0.0000 -2.6317 4.9858
Ca As Au
1 1 2
Direct
0.0000 0.0000 0.0000 Ca
0.5000 0.5000 0.5000 As
0.2227 0.2227 0.2227 Au
0.7773 0.7773 0.7773 Au

3.
CaAs2Au (PBE, relaxed); energy relative to the elements = -0.343 eV/atom; DFT total energy = -15.95 eV per cell; SG = P4/mmm (123); crystal system = tetragonal
1.0
5.1240 0.0000 0.0000
0.0000 5.1240 0.0000
0.0000 0.0000 3.1436
Ca As Au
1 2 1
Direct
0.0000 0.0000 0.0000 Ca
0.0000 0.5000 0.5000 As
0.5000 0.0000 0.5000 As
0.5000 0.5000 0.0000 Au

4.
CaAs2Au (PBE, relaxed); energy relative to the elements = -0.399 eV/atom; DFT total energy = -32.35 eV per cell; SG = I-42d (122); crystal system = tetragonal
1.0
-2.3168 2.3168 9.2423
2.3168 -2.3168 9.2423
2.3168 2.3168 -9.2423
Ca As Au
2 4 2
Direct
0.0000 0.0000 0.0000 Ca
0.7500 0.2500 0.5000 Ca
0.2345 0.6250 0.1095 As
0.3750 0.4845 0.6095 As
0.5155 0.1250 0.8905 As
0.8750 0.7655 0.3905 As
0.2500 0.7500 0.5000 Au
0.5000 0.5000 0.0000 Au

5.
CaAs2Au (PBE, relaxed); energy relative to the elements = -0.257 eV/atom; DFT total energy = -15.60 eV per cell; SG = Cmmm (65); crystal system = orthorhombic
1.0
2.1021 -3.1659 0.0000
2.1021 3.1659 0.0000
0.0000 0.0000 6.9091
Ca As Au
1 2 1
Direct
0.0000 0.0000 0.0000 Ca
0.5000 0.5000 0.2816 As
0.5000 0.5000 0.7184 As
0.0000 0.0000 0.5000 Au

6.
CaAsAu2 (PBE, relaxed); energy relative to the elements = -0.460 eV/atom; DFT total energy = -15.05 eV per cell; SG = P2/m (10); crystal system = monoclinic
1.0
4.2367 0.0000 0.0000
0.0000 4.2223 0.0000
-0.0574 0.0000 4.5762
Ca As Au
1 1 2
Direct
0.0000 0.0000 0.0000 Ca
0.5000 0.5000 0.0000 As
0.0000 0.5000 0.5000 Au
0.5000 0.0000 0.5000 Au

7.
CaAsAu2 (PBE, relaxed); energy relative to the elements = -0.468 eV/atom; DFT total energy = -15.08 eV per cell; SG = Immm (71); crystal system = orthorhombic
1.0
-2.0571 2.1927 4.5634
2.0571 -2.1927 4.5634
2.0571 2.1927 -4.5634
Ca As Au
1 1 2
Direct
0.0000 0.0000 0.0000 Ca
0.5000 0.5000 0.0000 As
0.2614 0.7614 0.5000 Au
0.7386 0.2386 0.5000 Au

8.
Ca2AsAu3 (PBE, relaxed); energy relative to the elements = -0.766 eV/atom; DFT total energy = -46.16 eV per cell; SG = Fmmm (69); crystal system = orthorhombic
1.0
0.0000 4.6295 7.9589
3.7729 0.0000 7.9589
3.7729 4.6295 0.0000
Ca As Au
4 2 6
Direct
0.2373 0.7627 0.7627 Ca
0.2500 0.2500 0.2500 Ca
0.7500 0.7500 0.7500 Ca
0.7627 0.2373 0.2373 Ca
0.3359 0.3359 0.6641 As
0.6641 0.6641 0.3359 As
0.1704 0.6574 0.3426 Au
0.1721 0.1721 0.8279 Au
0.3426 0.8296 0.1704 Au
0.6574 0.1704 0.8296 Au
0.8279 0.8279 0.1721 Au
0.8296 0.3426 0.6574 Au

9.
CaAsAu (PBE, relaxed); energy relative to the elements = -0.503 eV/atom; DFT total energy = -11.44 eV per cell; SG = I4mm (107); crystal system = tetragonal
1.0
-2.0253 2.0253 4.2294
2.0253 -2.0253 4.2294
2.0253 2.0253 -4.2294
Ca As Au
1 1 1
Direct
0.0000 0.0000 0.0000 Ca
0.3420 0.3420 0.0000 As
0.6498 0.6498 0.0000 Au

10.
Ca2As2Au (PBE, relaxed); energy relative to the elements = -0.811 eV/atom; DFT total energy = -41.27 eV per cell; SG = P4/mbm (127); crystal system = tetragonal; relative energy among the computed polymorphs = 0.065 eV per atom
1.0
7.3299 0.0000 0.0000
0.0000 7.3299 0.0000
0.0000 0.0000 4.2740
Ca As Au
4 4 2
Direct
0.1774 0.3226 0.0000 Ca
0.3226 0.8226 0.0000 Ca
0.6774 0.1774 0.0000 Ca
0.8226 0.6774 0.0000 Ca
0.1253 0.6253 0.5000 As
0.3747 0.1253 0.5000 As
0.6253 0.8747 0.5000 As
0.8747 0.3747 0.5000 As
0.0000 0.0000 0.5000 Au
0.5000 0.5000 0.5000 Au

11.
CaAs2Au (PBE, relaxed); energy relative to the elements = -0.403 eV/atom; DFT total energy = -16.19 eV per cell; SG = Cm (8); crystal system = monoclinic
1.0
5.3625 -1.8790 0.0000
5.3625 1.8790 0.0000
-1.9337 0.0000 4.2005
Ca As Au
1 2 1
Direct
0.0000 0.0000 0.0000 Ca
0.4856 0.4856 0.4869 As
0.7749 0.7749 0.2839 As
0.2153 0.2153 0.7063 Au

12.
CaAs2Au (PBE, relaxed); energy relative to the elements = -0.373 eV/atom; DFT total energy = -16.07 eV per cell; SG = Immm (71); crystal system = orthorhombic
1.0
-2.2014 2.9452 3.5153
2.2014 -2.9452 3.5153
2.2014 2.9452 -3.5153
Ca As Au
1 2 1
Direct
0.0000 0.0000 0.0000 Ca
0.3052 0.8052 0.5000 As
0.6948 0.1948 0.5000 As
0.5000 0.5000 0.0000 Au